1.
Material: NaSnS3
Method: DFT, PBE
State: relaxed

Geometry as CIF:
```
data_NaSnS3
_chemical_formula_sum 'Na8 Sn8 S24'
_cell_length_a 11.719
_cell_length_b 13.244
_cell_length_c 6.454
_cell_angle_alpha 90.00
_cell_angle_beta 91.58
_cell_angle_gamma 90.00
_space_group_name_H-M_alt 'C 1 2/c 1'
_space_group_IT_number 15
loop_
_space_group_symop_operation_xyz
'x,y,z'
'-x,-y,-z'
'-x,y,-z+1/2'
'x,-y,z+1/2'
'x+1/2,y+1/2,z'
'-x+1/2,-y+1/2,-z'
'-x+1/2,y+1/2,-z+1/2'
'x+1/2,-y+1/2,z+1/2'
loop_
_atom_site_label
_atom_site_type_symbol
_atom_site_fract_x
_atom_site_fract_y
_atom_site_fract_z
Na1 Na 0.179 0.090 0.083
Sn1 Sn 0.000 0.289 0.750
Sn2 Sn 0.000 0.425 0.250
S1 S 0.080 0.110 0.671
S2 S 0.124 0.299 0.071
S3 S 0.128 0.430 0.586
```

Summary:
Theoretical density, Mg/m³: 3.16
E_tot, Ry/atom: -0.300
Polymorph energy (0 for the lowest one), meV/atom: 0.0
Formation energy without anion corrections, meV per atom: -537
Calculated volume, Å³/atom: 25.0

***

2.
Material: Na4Sn3S8
Method: DFT, PBE
State: relaxed

Geometry as CIF:
```
data_Na4Sn3S8
_chemical_formula_sum 'Na12 Sn9 S24'
_cell_length_a 7.6363
_cell_length_b 7.6363
_cell_length_c 21.5575
_cell_angle_alpha 90.00
_cell_angle_beta 90.00
_cell_angle_gamma 120.00
_space_group_name_H-M_alt 'R -3 m'
_space_group_IT_number 166
_space_group_name_Hall '-R 3 2"'
loop_
_atom_site_label
_atom_site_type_symbol
_atom_site_fract_x
_atom_site_fract_y
_atom_site_fract_z
Na1 Na 0.0000 0.0000 0.0000
Na2 Na 0.0000 0.0000 0.1398
Na3 Na 0.0000 0.0000 0.5000
Sn1 Sn 0.0000 0.5000 0.0000
S1 S 0.0000 0.0000 0.2655
S2 S 0.0224 0.5112 0.2650
```

Summary:
Theoretical density, Mg/m³: 3.22
E_tot, Ry/atom: -0.299
Polymorph energy (0 for the lowest one), meV/atom: 22.8
Formation energy without anion corrections, meV per atom: -718
Calculated volume, Å³/atom: 24.2

***

3.
Material: NaSnS2
Method: DFT, PBE
State: relaxed

Geometry as CIF:
```
data_NaSnS2
_chemical_formula_sum 'Na4 Sn4 S8'
_cell_length_a 6.206
_cell_length_b 6.206
_cell_length_c 12.638
_cell_angle_alpha 90.00
_cell_angle_beta 90.00
_cell_angle_gamma 90.00
_space_group_name_H-M_alt 'I -4 2 d'
_space_group_IT_number 122
_space_group_name_Hall 'I -4 2bw'
loop_
_atom_site_label
_atom_site_type_symbol
_atom_site_fract_x
_atom_site_fract_y
_atom_site_fract_z
Na1 Na 0.000 0.000 0.000
Sn1 Sn 0.000 0.000 0.500
S1 S 0.214 0.250 0.625
```

Summary:
Theoretical density, Mg/m³: 2.81
E_tot, Ry/atom: -0.295
Formation energy without anion corrections, meV per atom: -620
Calculated volume, Å³/atom: 30.4

***

4.
Material: Na4SnS4
Method: DFT, PBE
State: relaxed

Geometry as CIF:
```
data_Na4SnS4
_chemical_formula_sum 'Na8 Sn2 S8'
_cell_length_a 6.723
_cell_length_b 6.723
_cell_length_c 11.594
_cell_angle_alpha 90.00
_cell_angle_beta 90.00
_cell_angle_gamma 90.00
_space_group_name_H-M_alt 'I -4 2 m'
_space_group_IT_number 121
_space_group_name_Hall 'I -4 2'
loop_
_atom_site_label
_atom_site_type_symbol
_atom_site_fract_x
_atom_site_fract_y
_atom_site_fract_z
Na1 Na 0.000 0.000 0.203
Na2 Na 0.000 0.500 0.000
Sn1 Sn 0.000 0.000 0.500
S1 S 0.207 0.207 0.622
```

Summary:
Theoretical density, Mg/m³: 2.15
E_tot, Ry/atom: -0.277
Formation energy without anion corrections, meV per atom: -907
Calculated volume, Å³/atom: 29.1

***

5.
Material: Na2Sn2S3
Method: DFT, PBE
State: relaxed

Geometry as CIF:
```
data_Na2Sn2S3
_chemical_formula_sum 'Na4 Sn4 S6'
_cell_length_a 13.314
_cell_length_b 3.848
_cell_length_c 7.475
_cell_angle_alpha 90.00
_cell_angle_beta 98.82
_cell_angle_gamma 90.00
_space_group_name_H-M_alt 'C 1 2/m 1'
_space_group_IT_number 12
loop_
_space_group_symop_operation_xyz
'x,y,z'
'-x,-y,-z'
'-x,y,-z'
'x,-y,z'
'x+1/2,y+1/2,z'
'-x+1/2,-y+1/2,-z'
'-x+1/2,y+1/2,-z'
'x+1/2,-y+1/2,z'
loop_
_atom_site_label
_atom_site_type_symbol
_atom_site_fract_x
_atom_site_fract_y
_atom_site_fract_z
Na1 Na 0.132 0.000 0.396
Sn1 Sn 0.117 0.500 0.830
S1 S 0.000 0.500 0.500
S2 S 0.237 0.000 0.759
```

Summary:
Theoretical density, Mg/m³: 3.33
E_tot, Ry/atom: -0.295
Polymorph energy (0 for the lowest one), meV/atom: 0.0
Formation energy without anion corrections, meV per atom: -724
Calculated volume, Å³/atom: 27.0

***

6.
Material: NaSnS3
Method: DFT, PBE
State: relaxed

Geometry as CIF:
```
data_NaSnS3
_chemical_formula_sum 'Na1 Sn1 S3'
_cell_length_a 5.051
_cell_length_b 5.051
_cell_length_c 5.051
_cell_angle_alpha 90.00
_cell_angle_beta 90.00
_cell_angle_gamma 90.00
_space_group_name_H-M_alt 'P m -3 m'
_space_group_IT_number 221
_space_group_name_Hall '-P 4 2 3'
loop_
_atom_site_label
_atom_site_type_symbol
_atom_site_fract_x
_atom_site_fract_y
_atom_site_fract_z
Na1 Na 0.000 0.000 0.000
Sn1 Sn 0.500 0.500 0.500
S1 S 0.000 0.500 0.500
```

Summary:
Theoretical density, Mg/m³: 3.06
E_tot, Ry/atom: -0.270
Polymorph energy (0 for the lowest one), meV/atom: 401.1
Formation energy without anion corrections, meV per atom: -136
Calculated volume, Å³/atom: 25.8